Density functional theory data (GGA-PBE) for crystalline Na2Zr2US6 at its relaxed geometry.

Values from the calculation:
DOS(E_F)	7.3	states/eV/f.u.
V	254	Å³/cell
uncorrected formation energy	-1469.7	meV/atom
space-group type	C2/m
M_tot	3.5	μB/f.u.

a = 6.5300 Å, b = 6.5300 Å, c = 7.2162 Å
α = 98.60°, β = 98.60°, γ = 120.24°
With the nearest neighbours (Å) after each atom.
Fractional coordinates of all 11 atoms:
Na 0.1656 0.8344 0.0000  6 S 2.86-2.92
Na 0.8344 0.1656 0.0000  6 S 2.86-2.92
Zr 0.3340 0.6660 0.5000  6 S 2.63
Zr 0.6660 0.3340 0.5000  6 S 2.63
U 0.0000 0.0000 0.5000  6 S 2.71
S 0.0719 0.4160 0.7208  2 Zr 2.63, 1 U 2.71, 2 Na 2.86-2.92
S 0.2699 0.2699 0.2782  2 Zr 2.63, 1 U 2.71, 2 Na 2.92
S 0.4160 0.0719 0.7208  2 Zr 2.63, 1 U 2.71, 2 Na 2.86-2.92
S 0.5840 0.9281 0.2792  2 Zr 2.63, 1 U 2.71, 2 Na 2.86-2.92
S 0.7301 0.7301 0.7218  2 Zr 2.63, 1 U 2.71, 2 Na 2.92
S 0.9281 0.5840 0.2792  2 Zr 2.63, 1 U 2.71, 2 Na 2.86-2.92